# BeC2NF

A relaxed BeC2NF crystal (PBE, Alexandria via LeMat-Bulk).

a = 3.8607 Å, b = 3.8607 Å, c = 3.1278 Å
α = 90.00°, β = 90.00°, γ = 90.00°
Space group P4/mmm (No. 123)
Unique sites:
Be: 0.0000 0.0000 0.0000 (multiplicity 1)
C: 0.0000 0.5000 0.5000 (multiplicity 2)
N: 0.0000 0.0000 0.5000 (multiplicity 1)
F: 0.5000 0.5000 0.0000 (multiplicity 1)

**Calculated density**: 2.4 g/cm³
**Formation energy without anion corrections**: 2047 meV per atom
**Total energy**: -22.14 eV/cell
**V**: 46.62 Å³ per cell

# Pm5Al2Sn4

A relaxed Pm5Al2Sn4 crystal (PBE, Alexandria via LeMat-Bulk).

a = 20.1659 Å, b = 4.4355 Å, c = 7.8557 Å
α = 90.00°, β = 99.89°, γ = 90.00°
Space group C2/m (No. 12)
Unique sites:
Pm: 0.0000 0.0000 0.0000 (multiplicity 2)
Pm: 0.1508 0.5000 0.4564 (multiplicity 4)
Pm: 0.1596 0.5000 0.9581 (multiplicity 4)
Al: 0.0894 0.0000 0.7073 (multiplicity 4)
Sn: 0.0080 0.5000 0.6979 (multiplicity 4)
Sn: 0.2223 0.0000 0.7199 (multiplicity 4)

**Calculated density**: 6.0 g/cm³
**Total energy**: -101.87 eV/cell
**Energy relative to the elements**: -335 meV/atom
**V**: 692.21 Å³ per cell

# SrAlZnAg3

A relaxed SrAlZnAg3 crystal (PBE, Alexandria via LeMat-Bulk).

a = 7.0098 Å, b = 13.1942 Å, c = 5.8620 Å
α = 90.00°, β = 90.00°, γ = 90.00°
Space group Cmcm (No. 63)
Unique sites:
Sr: 0.0000 0.2142 0.2500 (multiplicity 4)
Al: 0.0000 0.4576 0.2500 (multiplicity 4)
Zn: 0.0000 0.1385 0.7500 (multiplicity 4)
Ag: 0.0000 0.3416 0.7500 (multiplicity 4)
Ag: 0.2014 0.0000 0.0000 (multiplicity 8)

**Calculated density**: 6.2 g/cm³
**Total energy**: -62.65 eV/cell
**Energy relative to the elements**: -68 meV/atom
**V**: 542.16 Å³ per cell

no.,M_tot (μB per formula unit)
1,0.0
2,0.0
3,0.0